1.
GdTmIr2 (meta-GGA SCAN, PBEsol geometry); E = -64.161 eV/atom; crystal system = cubic
1.0
4.767 0.000 0.000
2.383 4.128 0.000
2.383 1.376 3.892
Ir Tm Gd
2 1 1
Direct
0.750 0.750 0.750
0.250 0.250 0.250
0.000 0.000 0.000
0.500 0.500 0.500



2.
KNaGdTaO5 (meta-GGA SCAN, PBEsol geometry); E_form (uncorrected) = -2.967 eV/atom; crystal system = tetragonal
1.0
-0.279 5.098 -2.411
-5.572 -0.620 -0.666
-1.262 3.418 7.376
Na Gd O K Ta
2 2 10 2 2
Direct
0.500 0.000 0.759
0.000 0.500 0.241
0.500 0.500 0.500
0.000 0.000 0.500
0.000 0.500 0.964
0.733 0.233 0.334
0.267 0.233 0.334
0.767 0.267 0.666
0.233 0.733 0.666
0.733 0.767 0.334
0.267 0.767 0.334
0.500 0.000 0.036
0.767 0.733 0.666
0.233 0.267 0.666
0.000 0.000 0.000
0.500 0.500 0.000
0.500 0.000 0.262
0.000 0.500 0.738



3.
KGdP4O12 (meta-GGA SCAN, PBEsol geometry); E_form (uncorrected) = -2.710 eV/atom; crystal system = monoclinic
1.0
-0.309 5.914 -4.219
2.497 -4.463 -6.050
-7.940 -1.803 -1.947
O P Gd K
24 8 2 2
Direct
0.026 0.924 0.300
0.832 0.614 0.495
0.391 0.422 0.553
0.682 0.927 0.477
0.175 0.657 0.483
0.990 0.216 0.206
0.974 0.076 0.800
0.538 0.277 0.135
0.609 0.578 0.053
0.318 0.073 0.977
0.571 0.960 0.152
0.689 0.887 0.780
0.010 0.784 0.706
0.086 0.175 0.493
0.914 0.825 0.993
0.527 0.352 0.840
0.473 0.648 0.340
0.429 0.040 0.652
0.168 0.386 0.995
0.966 0.535 0.197
0.825 0.343 0.983
0.462 0.723 0.635
0.034 0.465 0.697
0.311 0.113 0.280
0.565 0.905 0.623
0.099 0.100 0.330
0.998 0.382 0.097
0.384 0.600 0.496
0.002 0.618 0.597
0.616 0.400 0.996
0.901 0.900 0.830
0.435 0.095 0.123
0.763 0.757 0.248
0.237 0.243 0.748
0.733 0.281 0.566
0.267 0.719 0.066



4.
KGdP4O12 (meta-GGA SCAN, PBEsol geometry); E_form (uncorrected) = -2.710 eV/atom; crystal system = monoclinic
1.0
-6.480 -2.574 -2.293
1.135 -0.392 7.241
-1.401 10.353 -1.251
O P Gd K
24 8 2 2
Direct
0.814 0.299 0.100
0.642 0.499 0.412
0.358 0.501 0.588
0.513 0.915 0.115
0.277 0.534 0.070
0.185 0.243 0.173
0.499 0.642 0.912
0.487 0.085 0.885
0.501 0.358 0.088
0.757 0.815 0.327
0.466 0.723 0.430
0.164 0.136 0.414
0.815 0.757 0.827
0.243 0.185 0.673
0.085 0.487 0.385
0.701 0.186 0.400
0.836 0.864 0.586
0.299 0.814 0.600
0.915 0.513 0.615
0.136 0.164 0.914
0.186 0.701 0.900
0.864 0.836 0.086
0.723 0.466 0.930
0.534 0.277 0.570
0.256 0.305 0.057
0.373 0.716 0.999
0.716 0.373 0.499
0.627 0.284 0.001
0.744 0.695 0.943
0.695 0.744 0.443
0.305 0.256 0.557
0.284 0.627 0.501
0.881 0.119 0.250
0.119 0.881 0.750
0.185 0.815 0.250
0.815 0.185 0.750



5.
K2RbGdV2O8 (meta-GGA SCAN, PBEsol geometry); E_form (uncorrected) = -2.792 eV/atom; crystal system = trigonal
1.0
5.959 0.000 0.000
-2.980 5.161 0.000
0.000 0.000 7.630
O K V Gd Rb
8 2 2 1 1
Direct
0.176 0.824 0.822
0.176 0.352 0.822
0.352 0.176 0.178
0.333 0.667 0.525
0.648 0.824 0.822
0.824 0.176 0.178
0.824 0.648 0.178
0.667 0.333 0.475
0.667 0.333 0.811
0.333 0.667 0.189
0.333 0.667 0.742
0.667 0.333 0.258
0.000 0.000 0.000
0.000 0.000 0.500



6.
KGdW2O8 (meta-GGA SCAN, PBEsol geometry); E_form (uncorrected) = -2.710 eV/atom; crystal system = monoclinic
1.0
7.493 -0.039 -0.050
3.526 6.614 -0.052
3.526 -1.656 6.404
O K W Gd
16 2 4 2
Direct
0.185 0.456 0.290
0.128 0.117 0.433
0.948 0.739 0.879
0.315 0.710 0.544
0.052 0.261 0.121
0.973 0.086 0.869
0.628 0.433 0.117
0.448 0.879 0.739
0.872 0.883 0.567
0.372 0.567 0.883
0.527 0.131 0.914
0.027 0.914 0.131
0.685 0.290 0.456
0.473 0.869 0.086
0.552 0.121 0.261
0.815 0.544 0.710
0.750 0.705 0.295
0.250 0.295 0.705
0.767 0.198 0.195
0.233 0.802 0.805
0.267 0.195 0.198
0.733 0.805 0.802
0.750 0.272 0.728
0.250 0.728 0.272



7.
K3Gd3P4S16 (meta-GGA SCAN, PBEsol geometry); E_form (uncorrected) = -1.248 eV/atom; crystal system = monoclinic
1.0
-4.280 -3.692 -7.975
-2.676 -9.193 1.964
-13.070 4.530 4.616
S K P Gd
32 6 8 6
Direct
0.459 0.579 0.396
0.583 0.792 0.525
0.680 0.947 0.001
0.480 0.837 0.171
0.963 0.858 0.305
0.163 0.520 0.329
0.208 0.417 0.975
0.927 0.295 0.888
0.744 0.268 0.081
0.792 0.583 0.025
0.142 0.037 0.195
0.803 0.597 0.313
0.197 0.403 0.687
0.732 0.256 0.419
0.295 0.927 0.388
0.705 0.073 0.612
0.403 0.197 0.187
0.268 0.744 0.581
0.837 0.480 0.671
0.579 0.459 0.896
0.421 0.541 0.104
0.256 0.732 0.919
0.417 0.208 0.475
0.597 0.803 0.813
0.037 0.142 0.695
0.541 0.421 0.604
0.858 0.963 0.805
0.947 0.680 0.501
0.320 0.053 0.999
0.520 0.163 0.829
0.053 0.320 0.499
0.073 0.705 0.112
0.000 0.000 0.000
0.972 0.612 0.836
0.028 0.388 0.164
0.612 0.972 0.336
0.388 0.028 0.664
0.000 0.000 0.500
0.235 0.601 0.025
0.334 0.036 0.139
0.601 0.235 0.525
0.399 0.765 0.475
0.036 0.334 0.639
0.964 0.666 0.361
0.666 0.964 0.861
0.765 0.399 0.975
0.252 0.488 0.511
0.255 0.745 0.250
0.512 0.748 0.989
0.748 0.512 0.489
0.745 0.255 0.750
0.488 0.252 0.011



8.
KGdS2 (meta-GGA SCAN, PBEsol geometry); E_form (uncorrected) = -2.116 eV/atom; crystal system = trigonal
1.0
4.037 0.000 0.000
2.018 3.496 0.000
2.018 1.165 7.242
S K Gd
2 1 1
Direct
0.765 0.765 0.704
0.235 0.235 0.296
0.000 0.000 0.000
0.500 0.500 0.500



9.
LiGdO2 (meta-GGA SCAN, PBEsol geometry); E_form (uncorrected) = -3.035 eV/atom; crystal system = tetragonal; energy above the most stable polymorph in this dataset = 21.0 kJ/mol of formula units
1.0
-3.546 2.705 -0.191
-0.493 -0.333 4.424
5.195 3.025 -1.445
O Gd Li
4 2 2
Direct
0.030 0.530 0.060
0.220 0.220 0.440
0.780 0.780 0.560
0.470 0.970 0.940
0.250 0.750 0.500
0.000 0.000 0.000
0.500 0.500 0.000
0.750 0.250 0.500



10.
LiGdO2 (meta-GGA SCAN, PBEsol geometry); E_form (uncorrected) = -3.077 eV/atom; crystal system = monoclinic; energy above the most stable polymorph in this dataset = 4.8 kJ/mol of formula units
1.0
6.094 0.000 0.000
0.000 6.309 -0.009
0.000 3.080 5.555
O Li Gd
8 4 4
Direct
0.184 0.155 0.866
0.316 0.655 0.366
0.393 0.814 0.736
0.893 0.686 0.764
0.607 0.186 0.264
0.107 0.314 0.236
0.816 0.845 0.134
0.684 0.345 0.634
0.340 0.223 0.081
0.840 0.277 0.419
0.660 0.777 0.919
0.160 0.723 0.581
0.133 0.742 0.030
0.367 0.242 0.530
0.633 0.758 0.470
0.867 0.258 0.970



11.
LiGdO2 (meta-GGA SCAN, PBEsol geometry); E_form (uncorrected) = -3.089 eV/atom; crystal system = orthorhombic; energy above the most stable polymorph in this dataset = 0.0 kJ/mol of formula units
1.0
-2.208 -1.006 -2.389
2.818 -4.415 -0.746
-6.135 -5.248 7.880
Gd Li O
4 4 8
Direct
0.250 0.952 0.140
0.750 0.452 0.360
0.750 0.048 0.860
0.250 0.548 0.640
0.750 0.097 0.566
0.250 0.597 0.934
0.750 0.403 0.066
0.250 0.903 0.434
0.750 0.305 0.703
0.750 0.756 0.026
0.250 0.695 0.297
0.750 0.195 0.203
0.250 0.244 0.974
0.750 0.744 0.526
0.250 0.805 0.797
0.250 0.256 0.474



12.
LiGdP4O12 (meta-GGA SCAN, PBEsol geometry); E_form (uncorrected) = -2.718 eV/atom; crystal system = monoclinic
1.0
7.032 0.000 0.000
3.516 8.171 -0.003
3.516 2.457 7.788
Li O P Gd
2 24 8 2
Direct
0.795 0.750 0.250
0.205 0.250 0.750
0.656 0.585 0.273
0.514 0.773 0.973
0.259 0.727 0.527
0.515 0.915 0.227
0.939 0.202 0.927
0.895 0.956 0.817
0.061 0.798 0.073
0.932 0.702 0.427
0.968 0.580 0.734
0.105 0.044 0.183
0.668 0.544 0.683
0.486 0.227 0.027
0.741 0.273 0.473
0.032 0.420 0.266
0.166 0.657 0.853
0.344 0.415 0.727
0.281 0.920 0.766
0.485 0.085 0.773
0.068 0.298 0.573
0.332 0.456 0.317
0.834 0.343 0.147
0.677 0.843 0.647
0.323 0.157 0.353
0.719 0.080 0.234
0.083 0.841 0.886
0.504 0.096 0.196
0.190 0.341 0.386
0.810 0.659 0.614
0.797 0.404 0.304
0.917 0.159 0.114
0.203 0.596 0.696
0.496 0.904 0.804
0.295 0.750 0.250
0.705 0.250 0.750



13.
LiGdW2O8 (meta-GGA SCAN, PBEsol geometry); E_form (uncorrected) = -2.666 eV/atom; crystal system = tetragonal
1.0
-5.058 1.020 -0.298
-0.715 -4.340 -2.714
2.050 -1.121 6.172
Gd O Li W
1 8 1 2
Direct
0.000 0.000 0.000
0.752 0.344 0.177
0.099 0.679 0.681
0.582 0.002 0.681
0.998 0.901 0.319
0.167 0.248 0.823
0.425 0.833 0.177
0.656 0.575 0.823
0.321 0.418 0.319
0.750 0.250 0.500
0.500 0.500 0.000
0.250 0.750 0.500



14.
LiGd2Os (meta-GGA SCAN, PBEsol geometry); E = -48.194 eV/atom; crystal system = cubic
1.0
-1.497 -2.684 -3.775
-2.381 -4.174 0.774
-4.747 -0.320 -1.028
Os Gd Li
1 2 1
Direct
0.000 0.000 0.000
0.750 0.750 0.750
0.250 0.250 0.250
0.500 0.500 0.500



15.
LiGdS2 (meta-GGA SCAN, PBEsol geometry); E_form (uncorrected) = -1.976 eV/atom; crystal system = tetragonal
1.0
-0.198 -1.575 3.562
3.012 -2.323 -0.860
3.363 3.687 1.817
Gd S Li
1 2 1
Direct
0.000 0.000 0.000
0.000 0.000 0.500
0.500 0.500 0.000
0.500 0.500 0.500



16.
LiGdS2 (meta-GGA SCAN, PBEsol geometry); E_form (uncorrected) = -2.042 eV/atom; crystal system = trigonal
1.0
3.908 0.000 0.000
1.954 3.385 0.000
1.954 1.128 6.059
Gd S Li
1 2 1
Direct
0.000 0.000 0.000
0.249 0.249 0.254
0.751 0.751 0.746
0.500 0.500 0.500



17.
LiGdTl2 (meta-GGA SCAN, PBEsol geometry); E = -51.934 eV/atom; crystal system = cubic
1.0
-3.756 1.095 3.312
0.779 -0.559 5.035
0.363 4.132 3.011
Li Tl Gd
1 2 1
Direct
0.000 0.000 0.000
0.250 0.250 0.250
0.750 0.750 0.750
0.500 0.500 0.500



| no. | theoretical density (g cm⁻³) |
| --- | --- |
| 1 | 15.409 |
| 2 | 6.082 |
| 3 | 3.529 |
| 4 | 3.548 |
| 5 | 3.898 |
| 6 | 7.203 |
| 7 | 3.076 |
| 8 | 4.232 |
| 9 | 6.150 |
| 10 | 6.097 |
| 11 | 6.411 |
| 12 | 3.562 |
| 13 | 7.465 |
| 14 | 10.421 |
| 15 | 4.694 |
| 16 | 4.731 |
| 17 | 9.992 |